(1)
First-principles (PBE+U) data for a relaxed structure of LiCaV2O6, as listed in Alexandria via LeMat-Bulk.

Structure (POSCAR):
```
LiCaV2O6
1.0
5.225 -5.025 0.000
5.225 5.025 0.000
-2.242 0.000 5.506
Li Ca V O
2 2 4 12
Cartesian
3.543 2.797 4.130 Li
4.664 -2.797 1.377 Li
4.664 3.964 1.377 Ca
3.543 -3.964 4.130 Ca
2.522 0.883 1.630 V
1.401 -0.883 4.383 V
6.807 0.883 1.123 V
5.685 -0.883 3.876 V
0.902 0.904 0.953 O
3.151 2.400 2.170 O
-0.219 -0.904 3.706 O
3.579 0.253 0.287 O
6.177 2.400 0.583 O
2.458 -0.253 3.040 O
5.750 0.253 2.466 O
2.030 -2.400 4.923 O
4.628 -0.253 5.220 O
8.426 0.904 1.800 O
5.056 -2.400 3.336 O
7.305 -0.904 4.553 O
```

Values from the calculation:
final energy: -141.5 eV/cell

---

(2)
First-principles (PBE+U) data for a relaxed structure of Li2CaVO4, as listed in Alexandria via LeMat-Bulk.

Structure (POSCAR):
```
Li2CaVO4
1.0
5.235 0.000 0.000
0.000 5.235 0.000
0.000 0.000 6.730
Li Ca V O
4 2 2 8
Cartesian
0.000 2.617 1.682 Li
0.000 2.617 5.047 Li
2.617 0.000 1.682 Li
2.617 0.000 5.047 Li
0.000 0.000 0.000 Ca
2.617 2.617 3.365 Ca
0.000 0.000 3.365 V
2.617 2.617 0.000 V
1.104 1.104 2.406 O
1.104 4.131 4.324 O
1.514 1.514 5.771 O
1.514 3.721 0.959 O
3.721 1.514 0.959 O
3.721 3.721 5.771 O
4.131 1.104 4.324 O
4.131 4.131 2.406 O
```

Values from the calculation:
final energy: -102.8 eV/cell

---

(3)
First-principles (PBE+U) data for a relaxed structure of Li3Ca2WO6, as listed in Alexandria via LeMat-Bulk.

Structure (POSCAR):
```
Li3Ca2WO6
1.0
2.807 -5.043 0.000
2.807 5.043 0.000
-1.623 0.000 5.002
Li Ca W O
3 2 1 6
Cartesian
0.000 0.000 0.000 Li
2.807 1.362 0.000 Li
2.807 -1.362 0.000 Li
1.995 3.306 2.501 Ca
1.995 -3.306 2.501 Ca
1.995 0.000 2.501 W
1.158 1.458 1.306 O
0.371 0.000 3.632 O
1.158 -1.458 1.306 O
2.832 1.458 3.696 O
3.619 0.000 1.370 O
2.832 -1.458 3.696 O
```

Values from the calculation:
final energy: -75.0 eV/cell